# 1
A plane-wave DFT calculation with GGA-PBE was carried out for crystalline Sm2YTmTe5 at its relaxed geometry.

Structure (CIF):
```
data_Sm2YTmTe5
_chemical_formula_sum 'Sm2 Y1 Tm1 Te5'
_cell_length_a 5.4919
_cell_length_b 5.4919
_cell_length_c 11.5083
_cell_angle_alpha 90.00
_cell_angle_beta 90.00
_cell_angle_gamma 90.00
_space_group_name_H-M_alt 'P 4/m m m'
_space_group_IT_number 123
_space_group_name_Hall '-P 4 2'
loop_
_atom_site_label
_atom_site_fract_x
_atom_site_fract_y
_atom_site_fract_z
Sm1 0.0000 0.0000 0.1594
Y1 0.5000 0.5000 0.5000
Tm1 0.5000 0.5000 0.0000
Te1 0.0000 0.0000 0.5000
Te2 0.0000 0.5000 0.0000
Te3 0.5000 0.5000 0.2533
```

Output
formation energy (no corrections) = -0.776 eV/atom
crystal system = tetragonal
DOS(E_F) = 5.02 states/eV/f.u.


# 2
A plane-wave DFT calculation with GGA-PBE was carried out for crystalline CrAg2Ir at its relaxed geometry.

Structure (CIF):
```
data_CrAg2Ir
_chemical_formula_sum 'Cr2 Ag4 Ir2'
_cell_length_a 3.8184
_cell_length_b 3.8184
_cell_length_c 8.7551
_cell_angle_alpha 90.00
_cell_angle_beta 90.00
_cell_angle_gamma 90.00
_space_group_name_H-M_alt 'I 4/m m m'
_space_group_IT_number 139
_space_group_name_Hall '-I 4 2'
loop_
_atom_site_label
_atom_site_fract_x
_atom_site_fract_y
_atom_site_fract_z
Cr1 0.0000 0.0000 0.0000
Ag1 0.0000 0.5000 0.2500
Ir1 0.0000 0.0000 0.5000
```

Output
total energy = -5.6299 eV/atom
crystal system = tetragonal
DOS(E_F) = 5.61 states/eV/f.u.


# 3
A plane-wave DFT calculation with GGA-PBE was carried out for crystalline CuBPbO5 at its relaxed geometry.

Structure (CIF):
```
data_CuBPbO5
_chemical_formula_sum 'Cu4 B4 Pb4 O20'
_cell_length_a 7.6236
_cell_length_b 7.9569
_cell_length_c 7.6038
_cell_angle_alpha 90.00
_cell_angle_beta 118.73
_cell_angle_gamma 90.00
_space_group_name_H-M_alt 'C 1 2/c 1'
_space_group_IT_number 15
_space_group_name_Hall '-C 2yc'
loop_
_atom_site_label
_atom_site_fract_x
_atom_site_fract_y
_atom_site_fract_z
Cu1 0.0000 0.1095 0.2500
B1 0.0000 0.4267 0.2500
Pb1 0.2500 0.2500 0.0000
O1 0.0000 0.1155 0.7500
O2 0.0221 0.2930 0.1163
O3 0.1861 0.4840 0.8512
```

Output
formation energy (no corrections) = -1.017 eV/atom
crystal system = monoclinic
DOS(E_F) = 2.78 states/eV/f.u.